# 1
This record from OQMD describes a relaxed structure of LaZrMo2C3. The functional is PBE.

The structure in CIF format:
```
data_LaZrMo2C3
_chemical_formula_sum 'La2 Zr2 Mo4 C6'
_symmetry_space_group_name_H-M 'C 1 m 1'
_symmetry_Int_Tables_number 8
_cell_length_a 11.383
_cell_length_b 3.354
_cell_length_c 5.737
_cell_angle_alpha 90.00
_cell_angle_beta 107.00
_cell_angle_gamma 90.00
loop_
_symmetry_equiv_pos_as_xyz
'x,y,z'
'x,-y,z'
'x+1/2,y+1/2,z'
'x+1/2,-y+1/2,z'
loop_
_atom_site_label
_atom_site_type_symbol
_atom_site_fract_x
_atom_site_fract_y
_atom_site_fract_z
La1 La 0.000 0.000 0.000
Zr1 Zr 0.273 0.500 0.355
Mo1 Mo 0.047 0.500 0.551
Mo2 Mo 0.243 0.000 0.797
C1 C 0.133 0.000 0.433
C2 C 0.174 0.500 0.929
C3 C 0.387 0.000 0.643
```

Computed properties:
**Final energy**: -128.91 eV for the cell shown


# 2
This record from OQMD describes a relaxed structure of AcLaGd2. The functional is PBE.

The structure in CIF format:
```
data_AcLaGd2
_chemical_formula_sum 'Ac1 La1 Gd2'
_symmetry_space_group_name_H-M 'P -6 m 2'
_symmetry_Int_Tables_number 187
_symmetry_space_group_name_Hall 'P -6 2'
_cell_length_a 3.6229
_cell_length_b 3.6229
_cell_length_c 12.9590
_cell_angle_alpha 90.00
_cell_angle_beta 90.00
_cell_angle_gamma 120.00
loop_
_atom_site_label
_atom_site_type_symbol
_atom_site_fract_x
_atom_site_fract_y
_atom_site_fract_z
Ac1 Ac 0.0000 0.0000 0.0000
La1 La 0.3333 0.6667 0.5000
Gd1 Gd 0.3333 0.6667 0.2395
```

Computed properties:
**Formation energy**: 0.22 eV/atom


# 3
This record from OQMD describes a relaxed structure of FeSe3. The functional is PBE.

The structure in CIF format:
```
data_FeSe3
_chemical_formula_sum 'Fe2 Se6'
_symmetry_space_group_name_H-M 'P 63/m m c'
_symmetry_Int_Tables_number 194
_symmetry_space_group_name_Hall '-P 6c 2c'
_cell_length_a 7.8404
_cell_length_b 7.8404
_cell_length_c 3.3083
_cell_angle_alpha 90.00
_cell_angle_beta 90.00
_cell_angle_gamma 120.00
loop_
_atom_site_label
_atom_site_type_symbol
_atom_site_fract_x
_atom_site_fract_y
_atom_site_fract_z
Fe1 Fe 0.3333 0.6667 0.2500
Se1 Se 0.2102 0.4204 0.7500
```

Computed properties:
**Final energy**: -37.11 eV for the cell shown


Total magnetic moment, respectively: 0.0, 0.0, 0.2 μB per cell.